# 1
DFT (PBE) results for a geometry-optimized Ca2IrPd2 structure.

Structure (extended XYZ):
```
10
Lattice="6.887 0.000 0.000 0.000 6.887 0.000 0.000 0.000 4.371" Properties=species:S:1:pos:R:3 pbc="T T T"
Ca 1.237 4.681 2.186
Ca 4.681 5.649 2.186
Ca 5.649 2.206 2.186
Ca 2.206 1.237 2.186
Ir 0.000 0.000 0.000
Ir 3.443 3.443 0.000
Pd 2.518 5.961 0.000
Pd 5.961 4.369 0.000
Pd 4.369 0.926 0.000
Pd 0.926 2.518 0.000
```

energy of formation = -0.386 eV/atom
ΔE to the lowest computed polymorph = 0.000 eV/atom
crystal system = tetragonal
total energy = -5.036 eV per atom

# 2
DFT (PBE) results for a geometry-optimized SrGe2Ru structure.

Structure (extended XYZ):
```
4
Lattice="1.595 0.543 4.436 0.741 4.353 1.739 -2.870 1.734 3.358" Properties=species:S:1:pos:R:3 pbc="T T T"
Ru -0.267 3.315 4.766
Ge -0.133 1.657 2.383
Ge -0.400 4.972 7.149
Sr 0.000 0.000 0.000
```

energy of formation = 0.003 eV/atom
crystal system = cubic
total energy = -5.045 eV per atom

# 3
DFT (PBE) results for a geometry-optimized CuP2HO structure.

Structure (extended XYZ):
```
5
Lattice="4.565 0.000 0.000 0.000 4.565 0.000 0.000 0.000 3.575" Properties=species:S:1:pos:R:3 pbc="T T T"
P 0.000 2.282 0.000
P 2.282 0.000 0.000
O 0.000 0.000 1.788
Cu 0.000 0.000 0.000
H 2.282 2.282 1.788
```

ΔE to the lowest computed polymorph = 0.373 eV/atom
crystal system = tetragonal
total energy = -3.578 eV per atom

# 4
DFT (PBE) results for a geometry-optimized As2Se structure.

Structure (extended XYZ):
```
3
Lattice="-1.596 3.886 -1.923 -1.087 0.078 -4.490 -4.424 0.285 -1.302" Properties=species:S:1:pos:R:3 pbc="T T T"
As -1.777 1.062 -1.929
As -5.330 3.187 -5.786
Se 0.000 0.000 0.000
```

ΔE to the lowest computed polymorph = 0.597 eV/atom
E_form (uncorrected) = 635 meV/atom
crystal system = cubic
total energy = -3.626 eV per atom

# 5
DFT (PBE) results for a geometry-optimized Y2CdIn structure.

Structure (extended XYZ):
```
4
Lattice="-1.467 -7.988 5.695 2.160 -8.271 5.031 0.945 -6.098 7.766" Properties=species:S:1:pos:R:3 pbc="T T T"
Cd 0.410 -5.589 4.623
In 1.229 -16.767 13.869
Y 1.638 -22.346 18.484
Y 0.820 -11.189 9.255
```

energy of formation = -0.261 eV/atom
crystal system = trigonal
total energy = -4.406 eV per atom

# 6
DFT (PBE) results for a geometry-optimized PrNdSm2Sb4 structure.

Structure (extended XYZ):
```
8
Lattice="-0.629 -2.547 -3.667 -1.377 -6.196 4.540 -7.629 -0.413 1.595" Properties=species:S:1:pos:R:3 pbc="T T T"
Pr -1.003 -4.372 0.437
Nd -4.503 -3.305 3.068
Sm -7.629 -0.413 1.595
Sm -4.129 -1.480 -1.036
Sb -6.741 -4.985 4.619
Sb -2.892 -4.171 -2.150
Sb -3.256 -6.049 1.988
Sb -6.378 -3.107 0.480
```

E_form (uncorrected) = -1183 meV/atom
crystal system = monoclinic
total energy = -5.618 eV per atom